Entry 1:
Here is Zn2InAs after structural relaxation from Alexandria. Energies are from PBE.

Geometry as CIF:
```
data_Zn2InAs
_chemical_formula_sum 'Zn4 In2 As2'
_cell_length_a 4.015
_cell_length_b 4.648
_cell_length_c 8.454
_cell_angle_alpha 90.00
_cell_angle_beta 90.00
_cell_angle_gamma 90.00
_space_group_name_H-M_alt 'C m m 2'
_space_group_IT_number 35
loop_
_space_group_symop_operation_xyz
'x,y,z'
'-x,-y,z'
'-x,y,z'
'x,-y,z'
'x+1/2,y+1/2,z'
'-x+1/2,-y+1/2,z'
'-x+1/2,y+1/2,z'
'x+1/2,-y+1/2,z'
loop_
_atom_site_label
_atom_site_fract_x
_atom_site_fract_y
_atom_site_fract_z
Zn1 0.000 0.000 0.000
Zn2 0.000 0.500 0.204
In1 0.000 0.000 0.476
As1 0.000 0.500 0.780
```

DFT total energy in eV per atom: -2.33
DFT formation energy in eV per atom: 0.15
Size of the total moment in μB per formula unit: 0.000

Entry 2:
Here is Zn2CdPt after structural relaxation from Alexandria. Energies are from PBE.

Geometry as CIF:
```
data_Zn2CdPt
_chemical_formula_sum 'Zn6 Cd3 Pt3'
_cell_length_a 4.2571
_cell_length_b 4.2571
_cell_length_c 14.1530
_cell_angle_alpha 90.00
_cell_angle_beta 90.00
_cell_angle_gamma 120.00
_space_group_name_H-M_alt 'R 3 m'
_space_group_IT_number 160
_space_group_name_Hall 'R 3 -2"'
loop_
_atom_site_label
_atom_site_fract_x
_atom_site_fract_y
_atom_site_fract_z
Zn1 0.0000 0.0000 0.0000
Zn2 0.0000 0.0000 0.2184
Cd1 0.0000 0.0000 0.4302
Pt1 0.0000 0.0000 0.6251
```

DFT total energy in eV per atom: -2.60
DFT formation energy in eV per atom: -0.23
Size of the total moment in μB per formula unit: 0.000

Entry 3:
Here is YAl2Co after structural relaxation from Alexandria. Energies are from PBE.

Geometry as CIF:
```
data_YAl2Co
_chemical_formula_sum 'Y2 Al4 Co2'
_cell_length_a 3.034
_cell_length_b 4.803
_cell_length_c 9.757
_cell_angle_alpha 90.00
_cell_angle_beta 90.00
_cell_angle_gamma 90.00
_space_group_name_H-M_alt 'I m m m'
_space_group_IT_number 71
_space_group_name_Hall '-I 2 2'
loop_
_atom_site_label
_atom_site_fract_x
_atom_site_fract_y
_atom_site_fract_z
Y1 0.000 0.000 0.000
Al1 0.000 0.500 0.208
Co1 0.000 0.000 0.500
```

DFT total energy in eV per atom: -5.45
DFT formation energy in eV per atom: -0.19
Size of the total moment in μB per formula unit: 0.586

Entry 4:
Here is Al2Pd12Au5 after structural relaxation from Alexandria. Energies are from PBE.

Geometry as CIF:
```
data_Al2Pd12Au5
_chemical_formula_sum 'Al4 Pd24 Au10'
_cell_length_a 12.503
_cell_length_b 7.683
_cell_length_c 6.483
_cell_angle_alpha 90.00
_cell_angle_beta 91.67
_cell_angle_gamma 90.00
_space_group_name_H-M_alt 'C 1 2/m 1'
_space_group_IT_number 12
loop_
_space_group_symop_operation_xyz
'x,y,z'
'-x,-y,-z'
'-x,y,-z'
'x,-y,z'
'x+1/2,y+1/2,z'
'-x+1/2,-y+1/2,-z'
'-x+1/2,y+1/2,-z'
'x+1/2,-y+1/2,z'
loop_
_atom_site_label
_atom_site_fract_x
_atom_site_fract_y
_atom_site_fract_z
Al1 0.000 0.207 0.000
Pd1 0.049 0.000 0.303
Pd2 0.090 0.500 0.893
Pd3 0.121 0.205 0.659
Pd4 0.151 0.313 0.242
Au1 0.000 0.500 0.500
Au2 0.193 0.000 0.988
Au3 0.240 0.500 0.580
```

DFT total energy in eV per atom: -4.76
DFT formation energy in eV per atom: -0.22
Size of the total moment in μB per formula unit: 0.000

Entry 5:
Here is La2NpCo2N6 after structural relaxation from Alexandria. Energies are from PBE.

Geometry as CIF:
```
data_La2NpCo2N6
_chemical_formula_sum 'La6 Np3 Co6 N18'
_cell_length_a 5.6164
_cell_length_b 5.6164
_cell_length_c 16.9045
_cell_angle_alpha 90.00
_cell_angle_beta 90.00
_cell_angle_gamma 120.00
_space_group_name_H-M_alt 'R -3 m'
_space_group_IT_number 166
_space_group_name_Hall '-R 3 2"'
loop_
_atom_site_label
_atom_site_fract_x
_atom_site_fract_y
_atom_site_fract_z
La1 0.0000 0.0000 0.2149
Np1 0.0000 0.0000 0.0000
Co1 0.0000 0.0000 0.3989
N1 0.0159 0.5079 0.7546
```

Uncorrected formation energy in eV/atom: -0.589
DFT total energy in eV per atom: -8.49
Size of the total moment in μB per formula unit: 0.807

Entry 6:
Here is Ni2AgMo after structural relaxation from Alexandria. Energies are from PBE.

Geometry as CIF:
```
data_Ni2AgMo
_chemical_formula_sum 'Ni4 Ag2 Mo2'
_cell_length_a 8.513
_cell_length_b 2.662
_cell_length_c 5.024
_cell_angle_alpha 90.00
_cell_angle_beta 98.45
_cell_angle_gamma 90.00
_space_group_name_H-M_alt 'C 1 2/m 1'
_space_group_IT_number 12
loop_
_space_group_symop_operation_xyz
'x,y,z'
'-x,-y,-z'
'-x,y,-z'
'x,-y,z'
'x+1/2,y+1/2,z'
'-x+1/2,-y+1/2,-z'
'-x+1/2,y+1/2,-z'
'x+1/2,-y+1/2,z'
loop_
_atom_site_label
_atom_site_fract_x
_atom_site_fract_y
_atom_site_fract_z
Ni1 0.248 0.000 0.218
Ag1 0.000 0.000 0.500
Mo1 0.000 0.500 0.000
```

DFT total energy in eV per atom: -6.02
DFT formation energy in eV per atom: 0.29
Size of the total moment in μB per formula unit: 0.000

Entry 7:
Here is FeGeAs after structural relaxation from Alexandria. Energies are from PBE.

Geometry as CIF:
```
data_FeGeAs
_chemical_formula_sum 'Fe4 Ge4 As4'
_cell_length_a 5.556
_cell_length_b 5.977
_cell_length_c 6.264
_cell_angle_alpha 90.00
_cell_angle_beta 116.21
_cell_angle_gamma 90.00
_space_group_name_H-M_alt 'P 1 21/c 1'
_space_group_IT_number 14
loop_
_space_group_symop_operation_xyz
'x,y,z'
'-x,-y,-z'
'-x,y+1/2,-z+1/2'
'x,-y+1/2,z+1/2'
loop_
_atom_site_label
_atom_site_fract_x
_atom_site_fract_y
_atom_site_fract_z
Fe1 0.241 0.012 0.496
Ge1 0.343 0.645 0.687
As1 0.159 0.120 0.818
```

DFT total energy in eV per atom: -5.99
DFT formation energy in eV per atom: -0.08
Size of the total moment in μB per formula unit: 0.697

Entry 8:
Here is CsCa2Ga2 after structural relaxation from Alexandria. Energies are from PBE.

Geometry as CIF:
```
data_CsCa2Ga2
_chemical_formula_sum 'Cs2 Ca4 Ga4'
_cell_length_a 5.689
_cell_length_b 5.689
_cell_length_c 12.816
_cell_angle_alpha 90.00
_cell_angle_beta 90.00
_cell_angle_gamma 90.00
_space_group_name_H-M_alt 'I 4/m m m'
_space_group_IT_number 139
_space_group_name_Hall '-I 4 2'
loop_
_atom_site_label
_atom_site_fract_x
_atom_site_fract_y
_atom_site_fract_z
Cs1 0.000 0.000 0.000
Ca1 0.000 0.000 0.334
Ga1 0.000 0.500 0.250
```

DFT total energy in eV per atom: -2.11
DFT formation energy in eV per atom: 0.08
Size of the total moment in μB per formula unit: 0.896